(1)
Density functional theory data (PBE) for a relaxed structure of Cu2Os3.

a b c (Å): 4.0569 4.0569 5.0556
angles (deg): 90.00 90.00 120.00
Last column: nearest neighbours and their distance in Å.
Space group P-3m1 (No. 164)
One atom of each set of equivalent atoms:
Cu 0.3333 0.6667 0.3446 (multiplicity 2)  8 Os 2.45-2.61
Os 0.0000 0.0000 0.5000 (multiplicity 1)  6 Cu 2.47
Os 0.3333 0.6667 0.8606 (multiplicity 2)  5 Cu 2.45-2.61, 3 Os 2.73

---

(2)
Density functional theory data (PBE) for a relaxed structure of CuOs2.

a b c (Å): 3.7947 11.5444 3.7518
angles (deg): 90.00 90.00 90.00
Last column: nearest neighbours and their distance in Å.
Space group Cmcm (No. 63)
One atom of each set of equivalent atoms:
Cu 0.0000 0.0812 0.2500 (multiplicity 4)  2 Cu 2.65, 10 Os 2.66-2.76
Os 0.0000 0.2446 0.7500 (multiplicity 4)  8 Os 2.64-2.72, 4 Cu 2.66-2.76
Os 0.0000 0.4148 0.2500 (multiplicity 4)  6 Os 2.64-2.72, 6 Cu 2.67-2.70

---

(3)
Density functional theory data (PBE) for a relaxed structure of CuOs3.

a b c (Å): 8.5661 8.5661 2.6912
angles (deg): 90.00 90.00 120.00
Last column: nearest neighbours and their distance in Å.
Space group R-3m (No. 166, hexagonal axes)
One atom of each set of equivalent atoms:
Cu 0.0000 0.0000 0.0000 (multiplicity 3)  6 Os 2.63, 2 Cu 2.69
Os 0.0000 0.5000 0.0000 (multiplicity 9)  2 Cu 2.63, 6 Os 2.63-2.69

---

Number 1: spin magnetization 0.00 μB per formula unit, formation energy from the elements 4.99 eV per formula unit. Number 2: spin magnetization 0.00 μB per formula unit, formation energy from the elements 1.14 eV per formula unit. Number 3: spin magnetization 0.01 μB per formula unit, formation energy from the elements 2.95 eV per formula unit.